11
Lattice="7.196 0.000 0.000 -3.598 6.231 0.000 0.000 0.000 8.674" Properties=species:S:1:pos:R:3 comment="Pm7NdHo3 (GGA-PBE, relaxed)" spacegroup="P3m1, No. 156" formation_energy_ev_per_fu=2.1 polymorph_energy_ev_per_fu=0.63 magnetic_moment_mub_per_atom=0.00 final_energy_ry_per_atom=-0.3320 pbc="T T T"
Pm 0.000 0.000 0.000
Pm 0.000 2.069 5.785
Pm -1.806 5.197 5.785
Pm 3.598 0.007 0.120
Pm 1.805 3.112 0.120
Pm 1.806 5.197 5.785
Pm 5.391 3.112 0.120
Nd 3.598 2.077 5.908
Ho 1.797 1.038 2.949
Ho 5.398 1.038 2.949
Ho 3.598 4.156 2.949

11
Lattice="-3.377 3.377 8.568 3.377 -3.377 8.568 3.377 3.377 -8.568" Properties=species:S:1:pos:R:3 comment="Pm6Nd4Ho (GGA-PBE, relaxed)" spacegroup="I-42m, No. 121" formation_energy_ev_per_fu=3.1 polymorph_energy_ev_per_fu=0.00 magnetic_moment_mub_per_atom=0.00 final_energy_ry_per_atom=-0.3280 pbc="T T T"
Pm 3.377 0.000 0.000
Pm 2.190 -2.190 6.442
Pm 1.187 1.187 2.126
Pm 0.000 3.377 0.000
Pm -2.190 2.190 6.442
Pm 2.190 2.190 10.694
Nd 2.099 2.099 -3.029
Nd 1.278 -1.278 11.597
Nd 1.278 1.278 5.539
Nd -1.278 1.278 11.597
Ho 0.000 0.000 8.568

15
Lattice="7.037 -6.149 0.000 7.037 6.149 0.000 -3.365 0.000 6.026" Properties=species:S:1:pos:R:3 comment="Pm4Nd8Ho3 (GGA-PBE, relaxed)" spacegroup="C2/m, No. 12" formation_energy_ev_per_fu=4.8 polymorph_energy_ev_per_fu=2.88 magnetic_moment_mub_per_atom=0.02 final_energy_ry_per_atom=-0.3240 pbc="T T T"
Pm 0.000 0.000 0.000
Pm -1.682 0.000 3.013
Pm 3.518 3.075 0.000
Pm 3.518 -3.075 0.000
Nd 2.587 0.000 1.608
Nd 5.355 3.099 3.013
Nd 1.472 0.000 4.888
Nd 7.037 2.485 0.000
Nd 7.037 -2.485 0.000
Nd 9.237 0.000 1.138
Nd 5.355 -3.099 3.013
Nd 8.122 0.000 4.418
Ho 1.836 3.075 3.013
Ho 1.836 -3.075 3.013
Ho 5.355 0.000 3.013

11
Lattice="3.121 -5.414 0.000 3.121 5.414 0.000 -2.106 0.000 11.607" Properties=species:S:1:pos:R:3 comment="Pm2Nd6Ho3 (GGA-PBE, relaxed)" spacegroup="C2/m, No. 12" formation_energy_ev_per_fu=1.8 polymorph_energy_ev_per_fu=0.00 magnetic_moment_mub_per_atom=0.00 final_energy_ry_per_atom=-0.3342 pbc="T T T"
Pm 3.121 3.612 0.000
Pm 3.121 -3.612 0.000
Nd -0.014 1.797 8.690
Nd 1.042 0.000 2.913
Nd -0.014 -1.797 8.690
Nd 4.150 1.797 2.916
Nd 3.094 0.000 8.693
Nd 4.150 -1.797 2.916
Ho -1.053 0.000 5.803
Ho 2.068 1.795 5.803
Ho 2.068 -1.795 5.803